# Pu3NpPa2N6, optimized geometry, DFT PBE
# raw total energy: -11.772 eV/atom
# magnetization: 17.778 μB per formula unit
# density: 13.99 g cm⁻³
# D(E_F): 40.56 states/eV/cell
# energy relative to the elements, uncorrected: -1365.4 meV per atom
data_Pu3NpPa2N6
_space_group_name_H-M_alt 'C 1 2/m 1'
_space_group_IT_number 12
_space_group_name_Hall '-C 2y'
_cell_length_a 6.0418
_cell_length_b 10.4662
_cell_length_c 6.0345
_cell_angle_alpha 90.00
_cell_angle_beta 109.48
_cell_angle_gamma 90.00
loop_
_atom_site_label
_atom_site_type_symbol
_atom_site_fract_x
_atom_site_fract_y
_atom_site_fract_z
Pu1 Pu 0.0000 0.0000 0.0000
Pu2 Pu 0.0000 0.3337 0.0000
Np1 Np 0.0000 0.5000 0.5000
Pa1 Pa 0.0000 0.1666 0.5000
N1 N 0.2469 0.3338 0.7421
N2 N 0.2487 0.0000 0.7427